No. 1
Entry from OQMD: a relaxed MgHgTeO crystal (PBE).

Excess energy over the best structure of this formula in the dataset (meV/atom): 661
Calculated total energy (eV per atom): -2.97

abc: 3.8517 3.8517 14.1124
angles: 90.00 90.00 90.00
Closest atoms and distances in Å follow each position.
Space group P4/nmm (No. 129, origin choice 2)
Unique sites:
Mg 0.2500 0.2500 0.0648 (multiplicity 2)  1 O 1.90
Hg 0.2500 0.2500 0.7372 (multiplicity 2)  1 O 2.72
Te 0.2500 0.7500 0.5000 (multiplicity 2)  4 Te 2.72
O 0.2500 0.2500 0.9302 (multiplicity 2)  1 Mg 1.90

No. 2
Entry from OQMD: a relaxed Gd2TmGa3AgPt2 crystal (PBE).

Magnetic moment (μB/f.u.): 0.001
Calculated total energy (eV per atom): -5.09

abc: 3.7473 12.9871 7.5252
angles: 90.00 90.00 90.00
Closest atoms and distances in Å follow each position.
Space group Amm2 (No. 38)
Unique sites:
Gd 0.0000 0.2042 0.0000 (multiplicity 4)  4 Pt 2.96-2.97, 6 Ga 3.06-3.30, 1 Ag 3.08
Tm 0.0000 0.0000 0.6132 (multiplicity 2)  4 Pt 2.91, 2 Ga 3.05, 1 Ag 3.06
Ga 0.5000 0.0000 0.9331 (multiplicity 2)  2 Pt 2.74, 2 Ag 2.79, 2 Tm 3.05
Ga 0.5000 0.1342 0.3407 (multiplicity 4)  2 Ag 2.75, 2 Pt 2.75-2.83, 2 Gd 3.06
Ag 0.0000 0.0000 0.2071 (multiplicity 2)  6 Ga 2.75-2.79, 1 Tm 3.06, 2 Gd 3.08
Pt 0.5000 0.1634 0.7031 (multiplicity 4)  3 Ga 2.74-2.83, 2 Tm 2.91, 4 Gd 2.96-2.97

No. 3
Entry from OQMD: a relaxed ThSn crystal (PBE).

Magnetic moment (μB/f.u.): 0.001
Calculated total energy (eV per atom): -6.05

abc: 3.5272 3.5272 5.4654
angles: 90.00 90.00 120.00
Closest atoms and distances in Å follow each position.
Space group P-6m2 (No. 187)
Unique sites:
Th 0.0000 0.0000 0.0000 (multiplicity 1)  6 Sn 3.41, 6 Th 3.53
Sn 0.3333 0.6667 0.5000 (multiplicity 1)  6 Th 3.41, 6 Sn 3.53

No. 4
Entry from OQMD: a relaxed TeMoIr crystal (PBE).

Excess energy over the best structure of this formula in the dataset (meV/atom): 0
Magnetic moment (μB/f.u.): 0.005
Calculated total energy (eV per atom): -7.26

abc: 6.2323 6.2323 6.2323
angles: 90.00 90.00 90.00
Closest atoms and distances in Å follow each position.
Space group F-43m (No. 216)
Unique sites:
Te 0.0000 0.0000 0.0000 (multiplicity 4)  4 Mo 2.70
Mo 0.2500 0.2500 0.7500 (multiplicity 4)  4 Te 2.70, 4 Ir 2.70
Ir 0.0000 0.0000 0.5000 (multiplicity 4)  4 Mo 2.70

No. 5
Entry from OQMD: a relaxed ZrZnFeSb crystal (PBE).

Excess energy over the best structure of this formula in the dataset (meV/atom): 0
Magnetic moment (μB/f.u.): 0.825
Calculated total energy (eV per atom): -5.57

abc: 6.4836 6.4836 6.4836
angles: 90.00 90.00 90.00
Closest atoms and distances in Å follow each position.
Space group F-43m (No. 216)
Unique sites:
Zr 0.0000 0.0000 0.0000 (multiplicity 4)  4 Zn 2.81, 4 Fe 2.81
Zn 0.2500 0.2500 0.2500 (multiplicity 4)  4 Zr 2.81, 4 Sb 2.81
Fe 0.2500 0.2500 0.7500 (multiplicity 4)  4 Zr 2.81, 4 Sb 2.81
Sb 0.0000 0.0000 0.5000 (multiplicity 4)  4 Fe 2.81, 4 Zn 2.81

No. 6
Entry from OQMD: a relaxed YErAl2Zn2 crystal (PBE).

Magnetic moment (μB/f.u.): 0.017
Calculated total energy (eV per atom): -3.98

abc: 4.4613 4.4613 7.1171
angles: 90.00 90.00 120.00
Closest atoms and distances in Å follow each position.
Space group P3m1 (No. 156)
Unique sites:
Y 0.0000 0.0000 0.0000 (multiplicity 1)  6 Zn 2.99-3.32, 6 Al 3.05-3.24
Er 0.0000 0.0000 0.4997 (multiplicity 1)  6 Zn 2.96-3.29, 6 Al 3.03-3.22
Al 0.3333 0.6667 0.7233 (multiplicity 1)  3 Zn 2.62
Al 0.6667 0.3333 0.2288 (multiplicity 1)  3 Zn 2.62
Zn 0.3333 0.6667 0.2942 (multiplicity 1)  3 Al 2.62
Zn 0.6667 0.3333 0.7878 (multiplicity 1)  3 Al 2.62

No. 7
Entry from OQMD: a relaxed GdEr2Mg3Cd3 crystal (PBE).

Magnetic moment (μB/f.u.): 0.005
Calculated total energy (eV per atom): -2.59

abc: 4.7048 12.8795 7.3534
angles: 90.00 90.00 90.00
Closest atoms and distances in Å follow each position.
Space group Amm2 (No. 38)
Unique sites:
Gd 0.0000 0.0000 0.0000 (multiplicity 2)  5 Cd 3.16-3.25, 2 Mg 3.40
Er 0.0000 0.2127 0.3637 (multiplicity 4)  5 Cd 3.13-3.21, 2 Mg 3.43
Mg 0.5000 0.0000 0.3338 (multiplicity 2)  4 Cd 2.88-2.93, 2 Mg 3.07
Mg 0.5000 0.1197 0.6949 (multiplicity 4)  4 Cd 2.87-2.96, 2 Mg 3.07-3.08
Cd 0.0000 0.0000 0.5706 (multiplicity 2)  6 Mg 2.93-2.96, 2 Er 3.13, 1 Gd 3.16
Cd 0.5000 0.1683 0.0766 (multiplicity 4)  3 Mg 2.87-2.88

No. 8
Entry from OQMD: a relaxed HfTlNiIr crystal (PBE).

Magnetic moment (μB/f.u.): 0.011
Calculated total energy (eV per atom): -6.65

abc: 6.5066 6.5066 6.5066
angles: 90.00 90.00 90.00
Closest atoms and distances in Å follow each position.
Space group F-43m (No. 216)
Unique sites:
Hf 0.0000 0.0000 0.0000 (multiplicity 4)  4 Tl 2.82, 4 Ir 2.82
Tl 0.2500 0.2500 0.2500 (multiplicity 4)  4 Hf 2.82, 4 Ni 2.82
Ni 0.0000 0.0000 0.5000 (multiplicity 4)  4 Tl 2.82, 4 Ir 2.82
Ir 0.2500 0.2500 0.7500 (multiplicity 4)  4 Hf 2.82, 4 Ni 2.82